Pr3DyTm3S8 | GGA-PBE | optimized geometry

Summary:
Theoretical density   6.35 g/cm³
DOS(E_F)   6.779 states/eV/f.u.
Energy relative to the elements, uncorrected   -2.0355 eV per atom

Unit cell a=8.0074 b=8.0074 c=8.0074 alpha=58.75 beta=58.75 gamma=58.75
Last column: nearest neighbours and their distance in Å.
Atoms (fractional coordinates):
Pr: 0.0000 0.5000 0.5000  6 S 2.90
Pr: 0.5000 0.0000 0.5000  6 S 2.90
Pr: 0.5000 0.5000 0.0000  6 S 2.90
Dy: 0.5000 0.5000 0.5000  6 S 2.77
Tm: 0.0000 0.0000 0.5000  6 S 2.71-2.72
Tm: 0.0000 0.5000 0.0000  6 S 2.71-2.72
Tm: 0.5000 0.0000 0.0000  6 S 2.71-2.72
S: 0.2370 0.7472 0.7472  2 Tm 2.72, 1 Dy 2.77, 2 Pr 2.90
S: 0.2421 0.2421 0.2421  3 Tm 2.71, 3 Pr 2.90
S: 0.2528 0.2528 0.7630  2 Tm 2.72, 1 Dy 2.77, 2 Pr 2.90
S: 0.2528 0.7630 0.2528  2 Tm 2.72, 1 Dy 2.77, 2 Pr 2.90
S: 0.7472 0.2370 0.7472  2 Tm 2.72, 1 Dy 2.77, 2 Pr 2.90
S: 0.7472 0.7472 0.2370  2 Tm 2.72, 1 Dy 2.77, 2 Pr 2.90
S: 0.7579 0.7579 0.7579  3 Tm 2.71, 3 Pr 2.90
S: 0.7630 0.2528 0.2528  2 Tm 2.72, 1 Dy 2.77, 2 Pr 2.90

=====

PrDyTm2S6 | GGA-PBE | optimized geometry

Summary:
Theoretical density   5.39 g/cm³
DOS(E_F)   0.000 states/eV/f.u.
Energy relative to the elements, uncorrected   -2.0449 eV per atom

Unit cell a=7.3380 b=7.3380 c=7.3380 alpha=56.53 beta=56.53 gamma=56.53
Last column: nearest neighbours and their distance in Å.
Atoms (fractional coordinates):
Pr: 0.0000 0.0000 0.0000  6 S 2.82-2.94
Dy: 0.4927 0.4927 0.4927  6 S 2.74-2.79
Tm: 0.2906 0.2906 0.2906  6 S 2.68-2.74
Tm: 0.7946 0.7946 0.7946  6 S 2.67-2.74
S: 0.0819 0.6678 0.4196  2 Tm 2.67-2.74, 1 Dy 2.79, 1 Pr 2.82
S: 0.1880 0.5796 0.8996  2 Tm 2.68-2.74, 1 Dy 2.74, 1 Pr 2.94
S: 0.4196 0.0819 0.6678  2 Tm 2.67-2.74, 1 Dy 2.79, 1 Pr 2.82
S: 0.5796 0.8996 0.1880  2 Tm 2.68-2.74, 1 Dy 2.74, 1 Pr 2.94
S: 0.6678 0.4196 0.0819  2 Tm 2.67-2.74, 1 Dy 2.79, 1 Pr 2.82
S: 0.8996 0.1880 0.5796  2 Tm 2.68-2.74, 1 Dy 2.74, 1 Pr 2.94

=====

PrDy2Tm3S6 | GGA-PBE | optimized geometry

Summary:
Theoretical density   7.64 g/cm³
DOS(E_F)   4.899 states/eV/f.u.
Energy relative to the elements, uncorrected   -1.9644 eV per atom

Unit cell a=8.7458 b=8.7458 c=7.8812 alpha=103.58 beta=103.58 gamma=25.66
Last column: nearest neighbours and their distance in Å.
Atoms (fractional coordinates):
Pr: 0.0000 0.0000 0.0000  6 S 2.86-2.87
Dy: 0.3345 0.3345 0.6691  6 S 2.76-2.80
Dy: 0.6655 0.6655 0.3309  6 S 2.76-2.80
Tm: 0.0000 0.0000 0.5000  6 S 2.68-2.75
Tm: 0.3359 0.3359 0.1662  6 S 2.69-2.75
Tm: 0.6641 0.6641 0.8338  6 S 2.69-2.75
S: 0.1659 0.1659 0.5871  3 Tm 2.75, 3 Dy 2.79-2.80
S: 0.1733 0.1733 0.0826  3 Tm 2.69-2.74, 2 Dy 2.78, 1 Pr 2.87
S: 0.4994 0.4994 0.2662  3 Tm 2.68-2.71, 1 Dy 2.76, 2 Pr 2.86
S: 0.5006 0.5006 0.7338  3 Tm 2.68-2.71, 1 Dy 2.76, 2 Pr 2.86
S: 0.8267 0.8267 0.9174  3 Tm 2.69-2.74, 2 Dy 2.78, 1 Pr 2.87
S: 0.8341 0.8341 0.4129  3 Tm 2.75, 3 Dy 2.79-2.80

=====

Pr3DyTm2S6 | GGA-PBE | optimized geometry

Summary:
Theoretical density   6.89 g/cm³
DOS(E_F)   4.632 states/eV/f.u.
Energy relative to the elements, uncorrected   -1.9995 eV per atom

Unit cell a=6.8199 b=6.8199 c=7.0581 alpha=99.27 beta=99.27 gamma=120.13
Last column: nearest neighbours and their distance in Å.
Atoms (fractional coordinates):
Pr: 0.0000 0.0000 0.0000  6 S 2.90-2.92
Pr: 0.3350 0.6650 0.0000  6 S 2.91-2.92
Pr: 0.6650 0.3350 0.0000  6 S 2.91-2.92
Dy: 0.5000 0.5000 0.5000  6 S 2.75
Tm: 0.1666 0.8334 0.5000  6 S 2.72
Tm: 0.8334 0.1666 0.5000  6 S 2.72
S: 0.0874 0.4245 0.2730  2 Tm 2.72, 1 Dy 2.75, 3 Pr 2.91-2.92
S: 0.2380 0.2380 0.7257  2 Tm 2.72, 1 Dy 2.75, 3 Pr 2.90-2.92
S: 0.4245 0.0874 0.2730  2 Tm 2.72, 1 Dy 2.75, 3 Pr 2.91-2.92
S: 0.5755 0.9126 0.7270  2 Tm 2.72, 1 Dy 2.75, 3 Pr 2.91-2.92
S: 0.7620 0.7620 0.2743  2 Tm 2.72, 1 Dy 2.75, 3 Pr 2.90-2.92
S: 0.9126 0.5755 0.7270  2 Tm 2.72, 1 Dy 2.75, 3 Pr 2.91-2.92

=====

PrDyTm4S8 | GGA-PBE | optimized geometry

Summary:
Theoretical density   5.61 g/cm³
DOS(E_F)   8.203 states/eV/f.u.
Energy relative to the elements, uncorrected   -1.9125 eV per atom

Unit cell a=8.0435 b=8.0435 c=8.0435 alpha=59.77 beta=59.77 gamma=59.77
Last column: nearest neighbours and their distance in Å.
Atoms (fractional coordinates):
Pr: 0.0000 0.0000 0.0000  4 S 2.71-2.72
Dy: 0.6250 0.6250 0.6250  6 S 2.74-2.78
Tm: 0.1284 0.6251 0.6251  6 S 2.70-2.75
Tm: 0.2513 0.2513 0.2513  4 S 2.58-2.60
Tm: 0.6251 0.1284 0.6251  6 S 2.70-2.75
Tm: 0.6251 0.6251 0.1284  6 S 2.70-2.75
S: 0.3800 0.3800 0.8567  3 Tm 2.58-2.74, 1 Dy 2.78
S: 0.3800 0.8567 0.3800  3 Tm 2.58-2.74, 1 Dy 2.78
S: 0.3832 0.3832 0.3832  4 Tm 2.60-2.75
S: 0.4130 0.8656 0.8656  2 Tm 2.70, 1 Pr 2.71, 1 Dy 2.74
S: 0.8567 0.3800 0.3800  3 Tm 2.58-2.74, 1 Dy 2.78
S: 0.8623 0.8623 0.8623  3 Tm 2.70, 1 Pr 2.72
S: 0.8656 0.4130 0.8656  2 Tm 2.70, 1 Pr 2.71, 1 Dy 2.74
S: 0.8656 0.8656 0.4130  2 Tm 2.70, 1 Pr 2.71, 1 Dy 2.74

=====

Pr3Dy3TmS8 | GGA-PBE | optimized geometry

Summary:
Theoretical density   6.17 g/cm³
DOS(E_F)   6.957 states/eV/f.u.
Energy relative to the elements, uncorrected   -2.0492 eV per atom

Unit cell a=8.0419 b=8.0419 c=8.0419 alpha=59.02 beta=59.02 gamma=59.02
Last column: nearest neighbours and their distance in Å.
Atoms (fractional coordinates):
Pr: 0.0000 0.5000 0.5000  6 S 2.89
Pr: 0.5000 0.0000 0.5000  6 S 2.89
Pr: 0.5000 0.5000 0.0000  6 S 2.89
Dy: 0.0000 0.0000 0.5000  6 S 2.75-2.76
Dy: 0.0000 0.5000 0.0000  6 S 2.75-2.76
Dy: 0.5000 0.0000 0.0000  6 S 2.75-2.76
Tm: 0.5000 0.5000 0.5000  6 S 2.74
S: 0.2439 0.2439 0.2439  3 Dy 2.75, 3 Pr 2.89
S: 0.2454 0.7430 0.7430  1 Tm 2.74, 2 Dy 2.76, 2 Pr 2.89
S: 0.2570 0.2570 0.7546  1 Tm 2.74, 2 Dy 2.76, 2 Pr 2.89
S: 0.2570 0.7546 0.2570  1 Tm 2.74, 2 Dy 2.76, 2 Pr 2.89
S: 0.7430 0.2454 0.7430  1 Tm 2.74, 2 Dy 2.76, 2 Pr 2.89
S: 0.7430 0.7430 0.2454  1 Tm 2.74, 2 Dy 2.76, 2 Pr 2.89
S: 0.7546 0.2570 0.2570  1 Tm 2.74, 2 Dy 2.76, 2 Pr 2.89
S: 0.7561 0.7561 0.7561  3 Dy 2.75, 3 Pr 2.89

=====

Pr2DyTmS5 | GGA-PBE | optimized geometry

Summary:
Theoretical density   5.35 g/cm³
DOS(E_F)   5.003 states/eV/f.u.
Energy relative to the elements, uncorrected   -1.5180 eV per atom

Unit cell a=4.8380 b=4.8380 c=10.2671 alpha=90.00 beta=90.00 gamma=90.00
Last column: nearest neighbours and their distance in Å.
Atoms (fractional coordinates):
Pr: 0.0000 0.0000 0.2078  5 S 3.00-3.23
Pr: 0.0000 0.0000 0.7922  5 S 3.00-3.23
Dy: 0.5000 0.5000 0.5000  2 S 2.52
Tm: 0.5000 0.5000 0.0000  6 S 2.42-2.61
S: 0.0000 0.0000 0.5000  2 Pr 3.00
S: 0.0000 0.5000 0.0000  2 Tm 2.42
S: 0.5000 0.0000 0.0000  2 Tm 2.42
S: 0.5000 0.5000 0.2542  1 Dy 2.52, 1 Tm 2.61
S: 0.5000 0.5000 0.7458  1 Dy 2.52, 1 Tm 2.61

=====

Pr2DyTmS6 | GGA-PBE | optimized geometry

Summary:
Theoretical density   5.01 g/cm³
DOS(E_F)   0.000 states/eV/f.u.
Energy relative to the elements, uncorrected   -2.0332 eV per atom

Unit cell a=7.4004 b=7.4004 c=7.4004 alpha=57.04 beta=57.04 gamma=57.04
Last column: nearest neighbours and their distance in Å.
Atoms (fractional coordinates):
Pr: 0.0000 0.0000 0.0000  6 S 2.83-2.93
Pr: 0.4994 0.4994 0.4994  6 S 2.84-2.93
Dy: 0.2073 0.2073 0.2073  6 S 2.71-2.77
Tm: 0.7064 0.7064 0.7064  6 S 2.68-2.74
S: 0.0805 0.4223 0.8274  1 Tm 2.68, 1 Dy 2.77, 2 Pr 2.84-2.93
S: 0.3296 0.9178 0.5847  1 Dy 2.71, 1 Tm 2.74, 2 Pr 2.83-2.93
S: 0.4223 0.8274 0.0805  1 Tm 2.68, 1 Dy 2.77, 2 Pr 2.84-2.93
S: 0.5847 0.3296 0.9178  1 Dy 2.71, 1 Tm 2.74, 2 Pr 2.83-2.93
S: 0.8274 0.0805 0.4223  1 Tm 2.68, 1 Dy 2.77, 2 Pr 2.84-2.93
S: 0.9178 0.5848 0.3296  1 Dy 2.71, 1 Tm 2.74, 2 Pr 2.83-2.93

=====

PrDy2US8 | GGA-PBE | optimized geometry

Summary:
Theoretical density   5.12 g/cm³
DOS(E_F)   1.568 states/eV/f.u.
Energy relative to the elements, uncorrected   -1.4865 eV per atom

Unit cell a=5.9649 b=6.2673 c=8.3389 alpha=90.00 beta=89.96 gamma=89.32
Last column: nearest neighbours and their distance in Å.
Atoms (fractional coordinates):
Pr: 0.0000 0.0000 0.0000  6 S 2.85-2.97
Dy: 0.4996 0.5001 0.2571  6 S 2.71-2.76
Dy: 0.5004 0.4999 0.7429  6 S 2.71-2.76
U: 0.0000 0.0000 0.5000  6 S 2.55-2.58
S: 0.2198 0.5714 0.0000  2 Dy 2.75, 1 S 2.78, 1 Pr 2.97
S: 0.2442 0.6579 0.5003  1 U 2.58, 2 Dy 2.71-2.72
S: 0.2491 0.1326 0.7269  1 U 2.55, 1 Dy 2.76, 1 Pr 2.85
S: 0.2496 0.1320 0.2728  1 U 2.55, 1 Dy 2.76, 1 Pr 2.85
S: 0.7504 0.8680 0.7272  1 U 2.55, 1 Dy 2.76, 1 Pr 2.85
S: 0.7509 0.8674 0.2731  1 U 2.55, 1 Dy 2.76, 1 Pr 2.85
S: 0.7558 0.3421 0.4997  1 U 2.58, 2 Dy 2.71-2.72
S: 0.7802 0.4286 0.0000  2 Dy 2.75, 1 S 2.78, 1 Pr 2.97

=====

PrDy4YS8 | GGA-PBE | optimized geometry

Summary:
Theoretical density   5.00 g/cm³
DOS(E_F)   8.438 states/eV/f.u.
Energy relative to the elements, uncorrected   -1.9286 eV per atom

Unit cell a=8.1111 b=8.1111 c=8.1111 alpha=59.97 beta=59.97 gamma=59.97
Last column: nearest neighbours and their distance in Å.
Atoms (fractional coordinates):
Pr: 0.0000 0.0000 0.0000  4 S 2.72
Dy: 0.3757 0.3757 0.8725  6 S 2.75-2.78
Dy: 0.3757 0.8725 0.3757  6 S 2.75-2.78
Dy: 0.7498 0.7498 0.7498  4 S 2.62
Dy: 0.8725 0.3757 0.3757  6 S 2.75-2.78
Y: 0.3758 0.3758 0.3758  6 S 2.76-2.79
S: 0.1363 0.1363 0.5899  1 Pr 2.72, 2 Dy 2.75, 1 Y 2.76
S: 0.1363 0.5899 0.1363  1 Pr 2.72, 2 Dy 2.75, 1 Y 2.76
S: 0.1367 0.1367 0.1367  1 Pr 2.72, 3 Dy 2.75
S: 0.1455 0.6185 0.6185  3 Dy 2.62-2.78, 1 Y 2.79
S: 0.5899 0.1363 0.1363  1 Pr 2.72, 2 Dy 2.75, 1 Y 2.76
S: 0.6178 0.6178 0.6178  4 Dy 2.62-2.78
S: 0.6185 0.1455 0.6185  3 Dy 2.62-2.78, 1 Y 2.79
S: 0.6185 0.6185 0.1455  3 Dy 2.62-2.78, 1 Y 2.79